This record from the Alexandria database describes crystalline KPRu2 at its relaxed geometry. The functional is PBE.

Lattice parameters (Å, degrees): 5.2979 5.2979 2.5888 90.00 90.00 113.27
Last column: nearest neighbours and their distance in Å.
Fractional coordinates of all 4 atoms:
1 K 0.5000 0.0000 0.5000  2 K 2.59
2 P 0.0000 0.5000 0.5000  2 P 2.59
3 Ru 0.0000 0.0000 0.0000  2 Ru 2.59
4 Ru 0.5000 0.5000 0.0000  2 Ru 2.59

- V (Å³/atom) = 16.69
- total moment (μB per formula unit) = 0.9
- crystal system = orthorhombic

***

This record from the Alexandria database describes crystalline K2TbVS4 at its relaxed geometry. The functional is PBE.

Lattice parameters (Å, degrees): 6.9432 6.9432 6.9432 93.23 118.15 118.15
Last column: nearest neighbours and their distance in Å.
Fractional coordinates of all 8 atoms:
1 K 0.5000 0.7500 0.2500  4 S 3.15
2 K 0.0000 0.0000 0.0000  4 S 3.24
3 Tb 0.5000 0.2500 0.7500  4 S 2.62
4 V 0.0000 0.5000 0.5000  4 S 2.31
5 S 0.6013 0.3856 0.4457  1 V 2.31
6 S 0.0601 0.2157 0.6144  1 V 2.31
7 S 0.9399 0.5543 0.1556  1 V 2.31
8 S 0.3987 0.8444 0.7843  1 V 2.31

- V (Å³/atom) = 30.36
- total moment (μB per formula unit) = 2.0
- crystal system = tetragonal

***

This record from the Alexandria database describes crystalline Pr3GdCo at its relaxed geometry. The functional is PBE.

Lattice parameters (Å, degrees): 5.4785 5.4785 5.4785 90.00 90.00 90.00
Last column: nearest neighbours and their distance in Å.
Fractional coordinates of all 5 atoms:
1 Pr 0.0000 0.5000 0.0000  2 Co 2.74
2 Pr 0.0000 0.0000 0.5000  2 Co 2.74
3 Pr 0.5000 0.0000 0.0000  2 Co 2.74
4 Gd 0.5000 0.5000 0.5000  12 Pr 3.87
5 Co 0.0000 0.0000 0.0000  6 Pr 2.74

- V (Å³/atom) = 32.89
- total moment (μB per formula unit) = 8.4
- crystal system = cubic

***

This record from the Alexandria database describes crystalline LaHfNi4 at its relaxed geometry. The functional is PBE.

Lattice parameters (Å, degrees): 5.0543 5.0543 5.0543 60.00 60.00 60.00
Last column: nearest neighbours and their distance in Å.
Fractional coordinates of all 6 atoms:
1 Ni 0.6264 0.6264 0.1209  6 Ni 2.50-2.55
2 Ni 0.6264 0.1209 0.6264  6 Ni 2.50-2.55
3 Ni 0.6264 0.6264 0.6264  6 Ni 2.50-2.55
4 Ni 0.1209 0.6264 0.6264  6 Ni 2.50-2.55
5 Hf 0.0000 0.0000 0.0000  12 Ni 2.96, 4 La 3.10
6 La 0.2500 0.2500 0.2500  12 Ni 2.97, 4 Hf 3.10

- V (Å³/atom) = 15.22
- total moment (μB per formula unit) = 0.0
- crystal system = cubic

***

Record-wise DFT total energy values, in eV/atom: -5.05, -5.33, -7.01, -6.61